(w)
Compound: PrMgBi2
Source: Alexandria
Functional: GGA-PBE
Structure: optimized geometry

## Properties
spin magnetization	0.000	μB/atom
D(E_F)	0.704	states/eV per atom
space group	P4/mmm, No. 123

a = 4.1481 Å, b = 4.1481 Å, c = 6.9149 Å
α = 90.00°, β = 90.00°, γ = 90.00°
With the nearest neighbours (Å) after each atom.
Atoms (fractional coordinates):
Pr 0.0000 0.0000 0.0000  8 Bi 3.43, 2 Mg 3.46
Mg 0.0000 0.0000 0.5000  8 Bi 3.38, 2 Pr 3.46
Bi 0.5000 0.5000 0.2565  2 Bi 3.37-3.55, 4 Mg 3.38, 4 Pr 3.43
Bi 0.5000 0.5000 0.7435  2 Bi 3.37-3.55, 4 Mg 3.38, 4 Pr 3.43

=====

(x)
Compound: PrMgBi2
Source: Alexandria
Functional: GGA-PBE
Structure: optimized geometry

## Properties
spin magnetization	0.000	μB/atom
D(E_F)	0.597	states/eV per atom
space group	P4/mmm, No. 123

a = 5.1977 Å, b = 5.1977 Å, c = 4.3542 Å
α = 90.00°, β = 90.00°, γ = 90.00°
With the nearest neighbours (Å) after each atom.
Atoms (fractional coordinates):
Pr 0.0000 0.0000 0.0000  8 Bi 3.39, 4 Mg 3.68
Mg 0.5000 0.5000 0.0000  8 Bi 3.39, 4 Pr 3.68
Bi 0.0000 0.5000 0.5000  4 Pr 3.39, 4 Mg 3.39, 4 Bi 3.68
Bi 0.5000 0.0000 0.5000  4 Pr 3.39, 4 Mg 3.39, 4 Bi 3.68

=====

(x) takes first place; second place is 61 meV per atom up.

=====

(w)
Compound: Pr2MgBi
Source: Alexandria
Functional: GGA-PBE
Structure: optimized geometry

## Properties
spin magnetization	0.000	μB/atom
D(E_F)	0.676	states/eV per atom
space group	P4/mmm, No. 123

a = 4.1999 Å, b = 4.1999 Å, c = 6.9703 Å
α = 90.00°, β = 90.00°, γ = 90.00°
With the nearest neighbours (Å) after each atom.
Atoms (fractional coordinates):
Pr 0.0000 0.0000 0.2460  4 Bi 3.43, 2 Pr 3.43-3.54, 4 Mg 3.46
Pr 0.0000 0.0000 0.7540  4 Bi 3.43, 2 Pr 3.43-3.54, 4 Mg 3.46
Mg 0.5000 0.5000 0.5000  8 Pr 3.46, 2 Bi 3.49
Bi 0.5000 0.5000 0.0000  8 Pr 3.43, 2 Mg 3.49

=====

(x)
Compound: Pr2MgBi
Source: Alexandria
Functional: GGA-PBE
Structure: optimized geometry

## Properties
spin magnetization	0.000	μB/atom
D(E_F)	0.937	states/eV per atom
space group	Fm-3m, No. 225

a = 5.5906 Å, b = 5.5906 Å, c = 5.5906 Å
α = 60.00°, β = 60.00°, γ = 60.00°
With the nearest neighbours (Å) after each atom.
Atoms (fractional coordinates):
Pr 0.2500 0.2500 0.2500  4 Bi 3.42, 4 Mg 3.42
Pr 0.7500 0.7500 0.7500  4 Mg 3.42, 4 Bi 3.42
Mg 0.0000 0.0000 0.0000  8 Pr 3.42
Bi 0.5000 0.5000 0.5000  8 Pr 3.42

=====

(w) takes first place; second place is 103 meV per atom up.

=====

(w)
Compound: MgBi2Pt2
Source: Alexandria
Functional: GGA-PBE
Structure: optimized geometry

## Properties
spin magnetization	0.000	μB/atom
D(E_F)	0.545	states/eV per atom
space group	P4/mbm, No. 127

a = 8.0863 Å, b = 8.0863 Å, c = 3.5245 Å
α = 90.00°, β = 90.00°, γ = 90.00°
With the nearest neighbours (Å) after each atom.
Atoms (fractional coordinates):
Mg 0.0000 0.0000 0.0000  4 Bi 3.03
Mg 0.5000 0.5000 0.0000  4 Bi 3.03
Bi 0.1618 0.3382 0.0000  6 Pt 2.95-2.96, 2 Mg 3.03
Bi 0.3382 0.8382 0.0000  6 Pt 2.95-2.96, 2 Mg 3.03
Bi 0.6618 0.1618 0.0000  6 Pt 2.95-2.96, 2 Mg 3.03
Bi 0.8382 0.6618 0.0000  6 Pt 2.95-2.96, 2 Mg 3.03
Pt 0.1311 0.6311 0.5000  6 Bi 2.95-2.96, 1 Pt 3.00
Pt 0.3689 0.1311 0.5000  6 Bi 2.95-2.96, 1 Pt 3.00
Pt 0.6311 0.8689 0.5000  6 Bi 2.95-2.96, 1 Pt 3.00
Pt 0.8689 0.3689 0.5000  6 Bi 2.95-2.96, 1 Pt 3.00

=====

(x)
Compound: MgBi2Pt2
Source: Alexandria
Functional: GGA-PBE
Structure: optimized geometry

## Properties
spin magnetization	0.000	μB/atom
D(E_F)	0.437	states/eV per atom
space group	I4/mmm, No. 139

a = 8.3763 Å, b = 8.3763 Å, c = 8.3763 Å
α = 152.84°, β = 152.84°, γ = 38.79°
With the nearest neighbours (Å) after each atom.
Atoms (fractional coordinates):
Mg 0.0000 0.0000 0.0000  8 Bi 3.37
Bi 0.3797 0.3797 0.0000  4 Pt 2.84
Bi 0.6203 0.6203 0.0000  4 Pt 2.84
Pt 0.2500 0.7500 0.5000  4 Pt 2.78, 4 Bi 2.84
Pt 0.7500 0.2500 0.5000  4 Pt 2.78, 4 Bi 2.84

=====

(y)
Compound: MgBi2Pt2
Source: Alexandria
Functional: GGA-PBE
Structure: optimized geometry

## Properties
spin magnetization	0.000	μB/atom
D(E_F)	0.483	states/eV per atom
space group	P4/mbm, No. 127

a = 7.3156 Å, b = 7.3156 Å, c = 4.1568 Å
α = 90.00°, β = 90.00°, γ = 90.00°
With the nearest neighbours (Å) after each atom.
Atoms (fractional coordinates):
Mg 0.0000 0.0000 0.0000  4 Pt 2.83
Mg 0.5000 0.5000 0.0000  4 Pt 2.83
Bi 0.1675 0.3325 0.5000  6 Pt 2.89-3.06
Bi 0.3325 0.8325 0.5000  6 Pt 2.89-3.06
Bi 0.6675 0.1675 0.5000  6 Pt 2.89-3.06
Bi 0.8325 0.6675 0.5000  6 Pt 2.89-3.06
Pt 0.1387 0.6387 0.0000  2 Mg 2.83, 1 Pt 2.87, 6 Bi 2.89-3.06
Pt 0.3613 0.1387 0.0000  2 Mg 2.83, 1 Pt 2.87, 6 Bi 2.89-3.06
Pt 0.6387 0.8613 0.0000  2 Mg 2.83, 1 Pt 2.87, 6 Bi 2.89-3.06
Pt 0.8613 0.3613 0.0000  2 Mg 2.83, 1 Pt 2.87, 6 Bi 2.89-3.06

=====

(y) takes first place; second place is 218 meV per atom up.

=====

(w)
Compound: Pu2MgBi
Source: Alexandria
Functional: GGA-PBE
Structure: optimized geometry

## Properties
spin magnetization	3.029	μB/atom
D(E_F)	3.474	states/eV per atom
space group	P4/mmm, No. 123

a = 4.6865 Å, b = 4.6865 Å, c = 4.8567 Å
α = 90.00°, β = 90.00°, γ = 90.00°
With the nearest neighbours (Å) after each atom.
Atoms (fractional coordinates):
Pu 0.0000 0.5000 0.0000  4 Pu 3.31, 4 Bi 3.37, 4 Mg 3.37
Pu 0.5000 0.0000 0.0000  4 Pu 3.31, 4 Bi 3.37, 4 Mg 3.37
Mg 0.0000 0.0000 0.5000  4 Bi 3.31, 8 Pu 3.37
Bi 0.5000 0.5000 0.5000  4 Mg 3.31, 8 Pu 3.37

=====

(x)
Compound: Pu2MgBi
Source: Alexandria
Functional: GGA-PBE
Structure: optimized geometry

## Properties
spin magnetization	3.245	μB/atom
D(E_F)	3.922	states/eV per atom
space group	Fm-3m, No. 225

a = 5.4152 Å, b = 5.4152 Å, c = 5.4152 Å
α = 60.00°, β = 60.00°, γ = 60.00°
With the nearest neighbours (Å) after each atom.
Atoms (fractional coordinates):
Pu 0.2500 0.2500 0.2500  4 Bi 3.32, 4 Mg 3.32
Pu 0.7500 0.7500 0.7500  4 Bi 3.32, 4 Mg 3.32
Mg 0.0000 0.0000 0.0000  8 Pu 3.32
Bi 0.5000 0.5000 0.5000  8 Pu 3.32

=====

(w) takes first place; second place is 92 meV per atom up.

=====

(w)
Compound: PuMgBi2
Source: Alexandria
Functional: GGA-PBE
Structure: optimized geometry

## Properties
spin magnetization	1.457	μB/atom
D(E_F)	3.198	states/eV per atom
space group	Fm-3m, No. 225

a = 5.4339 Å, b = 5.4339 Å, c = 5.4339 Å
α = 60.00°, β = 60.00°, γ = 60.00°
With the nearest neighbours (Å) after each atom.
Atoms (fractional coordinates):
Pu 0.0000 0.0000 0.0000  8 Bi 3.33
Mg 0.5000 0.5000 0.5000  8 Bi 3.33
Bi 0.2500 0.2500 0.2500  4 Mg 3.33, 4 Pu 3.33
Bi 0.7500 0.7500 0.7500  4 Mg 3.33, 4 Pu 3.33

=====

(x)
Compound: PuMgBi2
Source: Alexandria
Functional: GGA-PBE
Structure: optimized geometry

## Properties
spin magnetization	1.394	μB/atom
D(E_F)	2.778	states/eV per atom
space group	P4/mmm, No. 123

a = 5.0234 Å, b = 5.0234 Å, c = 4.3779 Å
α = 90.00°, β = 90.00°, γ = 90.00°
With the nearest neighbours (Å) after each atom.
Atoms (fractional coordinates):
Pu 0.0000 0.0000 0.0000  8 Bi 3.33, 4 Mg 3.55
Mg 0.5000 0.5000 0.0000  8 Bi 3.33, 4 Pu 3.55
Bi 0.0000 0.5000 0.5000  4 Mg 3.33, 4 Pu 3.33, 4 Bi 3.55
Bi 0.5000 0.0000 0.5000  4 Mg 3.33, 4 Pu 3.33, 4 Bi 3.55

=====

(x) takes first place; second place is 137 meV per atom up.

=====

(w)
Compound: PuMg2Bi3
Source: Alexandria
Functional: GGA-PBE
Structure: optimized geometry

## Properties
spin magnetization	0.931	μB/atom
D(E_F)	2.007	states/eV per atom
space group	Cmmm, No. 65

a = 8.1028 Å, b = 8.1028 Å, c = 4.3111 Å
α = 90.00°, β = 90.00°, γ = 144.34°
With the nearest neighbours (Å) after each atom.
Atoms (fractional coordinates):
Pu 0.0000 0.0000 0.0000  8 Bi 3.29-3.39, 4 Mg 3.56
Mg 0.3341 0.6659 0.0000  8 Bi 3.29-3.35, 2 Pu 3.56, 2 Mg 3.59
Mg 0.6659 0.3341 0.0000  8 Bi 3.29-3.35, 2 Pu 3.56, 2 Mg 3.59
Bi 0.1697 0.8303 0.5000  6 Mg 3.29-3.33, 2 Pu 3.39, 4 Bi 3.51-3.61
Bi 0.5000 0.5000 0.5000  4 Pu 3.29, 4 Mg 3.35, 4 Bi 3.61
Bi 0.8303 0.1697 0.5000  6 Mg 3.29-3.33, 2 Pu 3.39, 4 Bi 3.51-3.61

=====

(x)
Compound: PuMg2Bi3
Source: Alexandria
Functional: GGA-PBE
Structure: optimized geometry

## Properties
spin magnetization	0.929	μB/atom
D(E_F)	2.447	states/eV per atom
space group	Cmcm, No. 63

a = 9.0202 Å, b = 9.0202 Å, c = 6.2152 Å
α = 90.00°, β = 90.00°, γ = 136.94°
With the nearest neighbours (Å) after each atom.
Atoms (fractional coordinates):
Pu 0.1722 0.8278 0.7500  8 Bi 3.30-3.50, 4 Mg 3.62
Pu 0.8278 0.1722 0.2500  8 Bi 3.30-3.50, 4 Mg 3.62
Mg 0.2317 0.2317 0.0000  3 Mg 3.07-3.11, 4 Bi 3.10-3.19
Mg 0.2317 0.2317 0.5000  3 Mg 3.07-3.11, 4 Bi 3.10-3.19
Mg 0.7683 0.7683 0.0000  3 Mg 3.07-3.11, 4 Bi 3.10-3.19
Mg 0.7683 0.7683 0.5000  3 Mg 3.07-3.11, 4 Bi 3.10-3.19
Bi 0.0810 0.4002 0.7500  2 Mg 3.10, 2 Bi 3.19-3.43, 1 Pu 3.30
Bi 0.3722 0.6278 0.2500  4 Mg 3.19, 2 Pu 3.39
Bi 0.4002 0.0810 0.2500  2 Mg 3.10, 2 Bi 3.19-3.43, 1 Pu 3.30
Bi 0.5998 0.9190 0.7500  2 Mg 3.10, 2 Bi 3.19-3.43, 1 Pu 3.30
Bi 0.6278 0.3722 0.7500  4 Mg 3.19, 2 Pu 3.39
Bi 0.9190 0.5998 0.2500  2 Mg 3.10, 2 Bi 3.19-3.43, 1 Pu 3.30

=====

(w) takes first place; second place is 117 meV per atom up.

=====

(w)
Compound: RbMg3Bi
Source: Alexandria
Functional: GGA-PBE
Structure: optimized geometry

## Properties
spin magnetization	0.000	μB/atom
D(E_F)	0.572	states/eV per atom
space group	Pm-3m, No. 221

a = 5.9342 Å, b = 5.9342 Å, c = 5.9342 Å
α = 90.00°, β = 90.00°, γ = 90.00°
With the nearest neighbours (Å) after each atom.
Atoms (fractional coordinates):
Rb 0.0000 0.0000 0.0000  12 Mg 4.20
Mg 0.0000 0.5000 0.5000  2 Bi 2.97
Mg 0.5000 0.0000 0.5000  2 Bi 2.97
Mg 0.5000 0.5000 0.0000  2 Bi 2.97
Bi 0.5000 0.5000 0.5000  6 Mg 2.97

=====

(x)
Compound: RbMg3Bi
Source: Alexandria
Functional: GGA-PBE
Structure: optimized geometry

## Properties
spin magnetization	0.000	μB/atom
D(E_F)	0.958	states/eV per atom
space group	Pm-3m, No. 221

a = 6.0180 Å, b = 6.0180 Å, c = 6.0180 Å
α = 90.00°, β = 90.00°, γ = 90.00°
With the nearest neighbours (Å) after each atom.
Atoms (fractional coordinates):
Rb 0.0000 0.0000 0.0000  6 Mg 3.01
Mg 0.0000 0.0000 0.5000  2 Rb 3.01
Mg 0.0000 0.5000 0.0000  2 Rb 3.01
Mg 0.5000 0.0000 0.0000  2 Rb 3.01
Bi 0.5000 0.5000 0.5000  12 Mg 4.26

=====

(w) takes first place; second place is 853 meV per atom up.